VASP calculation (GGA-PBEsol) on crystalline NiOsRh2 at its relaxed geometry.

The volume is 12.89 Å³/atom. The relative energy among the computed polymorphs comes out at 21 meV per atom. The total energy is -34.5 eV/f.u. Its energy of formation is 0.046 eV/atom.

The space group is C2/m (No. 12) and the conventional cell measures 8.757, 2.639 and 4.528 Å, with angles of 90.00, 99.94 and 90.00 degrees. The asymmetric unit holds Ni at (0.000, 0.000, 0.000), Os at (0.000, 0.500, 0.500) and Rh at (0.250, 0.000, 0.751).

=====

VASP calculation (GGA-PBEsol) on crystalline Sb3PdN at its relaxed geometry.

Its formation energy (no corrections) is 6.98 eV/f.u. The volume is 27.48 Å³/atom. The total energy is -21.2 eV/f.u.

The space group is Pm-3m (No. 221) and the conventional cell measures 5.160, 5.160 and 5.160 Å, with angles of 90.00, 90.00 and 90.00 degrees. The asymmetric unit holds Sb at (0.000, 0.000, 0.500), Pd at (0.000, 0.000, 0.000) and N at (0.500, 0.500, 0.500).

=====

VASP calculation (GGA-PBEsol) on crystalline Er5Si3C at its relaxed geometry.

Its formation energy (no corrections) is -6.12 eV/f.u. The volume is 20.52 Å³/atom. The total energy is -57.6 eV/f.u.

The space group is P6_3/mcm (No. 193) and the conventional cell measures 8.2883, 8.2883 and 6.2084 Å, with angles of 90.00, 90.00 and 120.00 degrees. The asymmetric unit holds Er at (0.0000, 0.2238, 0.2500), Er at (0.3333, 0.6667, 0.0000), Si at (0.0000, 0.4082, 0.7500) and C at (0.0000, 0.0000, 0.0000).